Here is crystalline Mg3TlBi at its relaxed geometry from Alexandria. Energies are from GGA-PBE.

Values from the calculation:
Calculated formation energy: -2 meV/atom
Magnetization: 0.00 μB/cell
Crystal system: triclinic

POSCAR file:
```
Mg3TlBi
1.0
4.6746 0.0000 0.0000
-2.3151 7.6970 0.0000
-0.0290 -3.0716 8.2373
Mg Tl Bi
6 2 2
Direct
0.0191 0.0358 0.1859
0.2078 0.4131 0.5840
0.3842 0.7698 0.9425
0.6158 0.2302 0.0575
0.7922 0.5869 0.4160
0.9809 0.9642 0.8141
0.1808 0.3640 0.8970
0.8192 0.6360 0.1030
0.4060 0.8145 0.5987
0.5940 0.1855 0.4013
```